# Ce2GaF PBE optimized geometry
# **Density of states at the Fermi level**: 2.86 states/eV/atom
# **Raw formation energy**: -5.2 eV/f.u.
# **SG**: R-3m
# **Volume**: 88.7 Å³ per cell
data_Ce2GaF
_chemical_formula_sum 'Ce2 Ga1 F1'
_symmetry_space_group_name_H-M 'P 1'
_symmetry_Int_Tables_number 1
_symmetry_space_group_name_Hall 'P 1'
_cell_length_a 3.856
_cell_length_b 3.856
_cell_length_c 7.242
_cell_angle_alpha 74.56
_cell_angle_beta 74.56
_cell_angle_gamma 60.00
loop_
_atom_site_label
_atom_site_type_symbol
_atom_site_fract_x
_atom_site_fract_y
_atom_site_fract_z
_atom_site_occupancy
Ga1 Ga 0.000 0.000 0.000 1
Ce1 Ce 0.766 0.766 0.703 1
Ce2 Ce 0.234 0.234 0.297 1
F1 F 0.500 0.500 0.500 1